Below is Al2CdSi after structural relaxation, with properties calculated at the PBE level.

E_form (uncorrected) = 0.240 eV/atom
excess energy over the best structure of this formula in the dataset = 0.064 eV per atom
VASP energy = -25.73 eV per cell

```
Al2CdSi
1.0
-2.6066 6.7576 2.5789
-4.5446 -3.6627 5.0042
-1.5800 1.6085 5.6486
Si Al Cd
2 4 2
Cartesian
-3.5756 1.5475 3.7915
-4.8501 -0.2533 7.2221
-2.4458 3.7884 3.5047
-3.7076 -0.6629 5.0069
-4.1218 2.1614 7.3610
-7.1871 4.1201 10.5907
0.0000 0.0000 0.0000
-3.8811 4.9568 6.0095
```